Below is a geometry-optimized NbGa2I8 structure, with properties calculated at the GGA-PBE level.

a = 10.856 Å, b = 12.049 Å, c = 9.294 Å
α = 90.00°, β = 108.17°, γ = 90.00°
Space group C2/m (No. 12)
Unique sites:
Nb1 0.000 0.000 0.000 x2
Ga1 0.155 0.000 0.292 x4
I1 0.005 0.177 0.785 x8
I2 0.201 0.500 0.440 x4
I3 0.216 0.500 0.916 x4

uncorrected formation energy	-0.36	eV per atom